Cr2CdP | GGA-PBE | optimized geometry

Summary:
SG ... I-42d, No. 122
Calculated density ... 6.4 g cm⁻³
Magnetization ... 0.0 Bohr magnetons per cell
E_form ... 237 kJ/mol of formula units

a b c (Å): 3.8382 3.8382 17.3660
angles (deg): 90.00 90.00 90.00
Sites, in units of the cell vectors:
Cr: 0.1428 0.2500 0.1250
Cr: 0.2500 0.6428 0.3750
Cr: 0.2500 0.8572 0.8750
Cr: 0.3572 0.2500 0.6250
Cr: 0.6428 0.7500 0.6250
Cr: 0.7500 0.1428 0.8750
Cr: 0.7500 0.3572 0.3750
Cr: 0.8572 0.7500 0.1250
Cd: 0.0000 0.0000 0.5000
Cd: 0.0000 0.5000 0.7500
Cd: 0.5000 0.0000 0.2500
Cd: 0.5000 0.5000 0.0000
P: 0.0000 0.0000 0.0000
P: 0.0000 0.5000 0.2500
P: 0.5000 0.0000 0.7500
P: 0.5000 0.5000 0.5000

CrCdP2 | GGA-PBE | optimized geometry

Summary:
SG ... Immm, No. 71
Calculated density ... 5.1 g cm⁻³
Magnetization ... 0.0 Bohr magnetons per cell
E_form ... 81 kJ/mol of formula units

a b c (Å): 2.7748 4.8805 10.8589
angles (deg): 90.00 90.00 90.00
Sites, in units of the cell vectors:
Cr: 0.0000 0.0000 0.0000
Cr: 0.5000 0.5000 0.5000
Cd: 0.0000 0.0000 0.5000
Cd: 0.5000 0.5000 0.0000
P: 0.0000 0.5000 0.3337
P: 0.0000 0.5000 0.6663
P: 0.5000 0.0000 0.1663
P: 0.5000 0.0000 0.8337

Cr2CdP | GGA-PBE | optimized geometry

Summary:
SG ... Pm, No. 6
Calculated density ... 6.0 g cm⁻³
Magnetization ... 0.9 Bohr magnetons per cell
E_form ... 86 kJ/mol of formula units

a b c (Å): 3.0093 4.0489 5.7693
angles (deg): 90.00 104.93 90.00
Sites, in units of the cell vectors:
Cr: 0.0000 0.0000 0.0000
Cr: 0.4655 0.5000 0.9274
Cd: 0.1855 0.5000 0.3676
P: 0.3436 0.0000 0.6842

CrCdP2 | GGA-PBE | optimized geometry

Summary:
SG ... I-42d, No. 122
Calculated density ... 4.3 g cm⁻³
Magnetization ... 8.0 Bohr magnetons per cell
E_form ... 24 kJ/mol of formula units

a b c (Å): 5.6253 5.6253 11.1623
angles (deg): 90.00 90.00 90.00
Sites, in units of the cell vectors:
Cr: 0.0000 0.0000 0.0000
Cr: 0.0000 0.5000 0.2500
Cr: 0.5000 0.0000 0.7500
Cr: 0.5000 0.5000 0.5000
Cd: 0.0000 0.0000 0.5000
Cd: 0.0000 0.5000 0.7500
Cd: 0.5000 0.0000 0.2500
Cd: 0.5000 0.5000 0.0000
P: 0.1960 0.2500 0.1250
P: 0.2500 0.6960 0.3750
P: 0.2500 0.8040 0.8750
P: 0.3040 0.2500 0.6250
P: 0.6960 0.7500 0.6250
P: 0.7500 0.1960 0.8750
P: 0.7500 0.3040 0.3750
P: 0.8040 0.7500 0.1250

Cr2CdP | GGA-PBE | optimized geometry

Summary:
SG ... R3m, No. 160
Calculated density ... 6.8 g cm⁻³
Magnetization ... 0.8 Bohr magnetons per cell
E_form ... 99 kJ/mol of formula units

a b c (Å): 2.8563 2.8563 25.5685
angles (deg): 90.00 90.00 120.00
Sites, in units of the cell vectors:
Cr: 0.0000 0.0000 0.0000
Cr: 0.0000 0.0000 0.2681
Cr: 0.3333 0.6667 0.6667
Cr: 0.3333 0.6667 0.9348
Cr: 0.6667 0.3333 0.3333
Cr: 0.6667 0.3333 0.6014
Cd: 0.0000 0.0000 0.7612
Cd: 0.3333 0.6667 0.4279
Cd: 0.6667 0.3333 0.0946
P: 0.0000 0.0000 0.5341
P: 0.3333 0.6667 0.2008
P: 0.6667 0.3333 0.8674

Which of these has the highest calculated density? number 5

What is the formula in the second record? CrCdP2

calculated density of number 3 (Cr2CdP)? 6.0 g cm⁻³

Which value of calculated density does entry 5 give? 6.8 g cm⁻³